Entry a
Computed, not measured: a relaxed structure of Dy3Er3CoTe2 at the PBE level of DFT.

Summary:
Magnetization = 0.10 Bohr magnetons per cell

Unit cell a=8.3188 b=8.3188 c=3.8751 alpha=90.00 beta=90.00 gamma=120.00
Last column: nearest neighbours and their distance in Å.
Atoms (fractional coordinates):
1 Co 0.0000 0.0000 0.5000  6 Dy 2.76
2 Dy 0.2355 0.0000 0.0000  2 Co 2.76
3 Dy 0.0000 0.2355 0.0000  2 Co 2.76
4 Dy 0.7645 0.7645 0.0000  2 Co 2.76
5 Er 0.5986 0.0000 0.5000  4 Te 3.19, 1 Co 3.34, 4 Dy 3.49
6 Er 0.4014 0.4014 0.5000  4 Te 3.19, 1 Co 3.34, 4 Dy 3.49
7 Er 0.0000 0.5986 0.5000  4 Te 3.19, 1 Co 3.34, 4 Dy 3.49
8 Te 0.6667 0.3333 0.0000  6 Er 3.19, 3 Dy 3.26
9 Te 0.3333 0.6667 0.0000  6 Er 3.19, 3 Dy 3.26

---

Entry b
Computed, not measured: a relaxed structure of Dy3Er3CoTe2 at the PBE level of DFT.

Summary:
Magnetization = 0.02 Bohr magnetons per cell

Unit cell a=8.3030 b=8.3030 c=3.9109 alpha=90.00 beta=90.00 gamma=120.00
Last column: nearest neighbours and their distance in Å.
Atoms (fractional coordinates):
1 Co 0.0000 0.0000 0.5000  6 Er 2.76
2 Dy 0.6018 0.0000 0.5000  4 Te 3.21, 1 Co 3.31, 4 Er 3.48
3 Dy 0.3982 0.3982 0.5000  4 Te 3.21, 1 Co 3.31, 4 Er 3.48
4 Dy 0.0000 0.6018 0.5000  4 Te 3.21, 1 Co 3.31, 4 Er 3.48
5 Er 0.2344 0.0000 0.0000  2 Co 2.76
6 Er 0.0000 0.2344 0.0000  2 Co 2.76
7 Er 0.7656 0.7656 0.0000  2 Co 2.76
8 Te 0.6667 0.3333 0.0000  6 Dy 3.21, 3 Er 3.26
9 Te 0.3333 0.6667 0.0000  6 Dy 3.21, 3 Er 3.26

---

In terms of stability, entry b leads; the second structure lies 3.1 kJ/mol of atoms higher.